A plane-wave DFT calculation with PBE was carried out for RbTl6Pb4 after structural relaxation.

a b c (Å): 9.2646 9.2646 5.2852
angles (deg): 90.00 90.00 120.00
Space group P-6m2 (No. 187)
Unique sites:
Rb 0.0000 0.0000 0.0000 x1
Tl 0.2027 0.4054 0.5000 x3
Tl 0.5329 0.0659 0.0000 x3
Pb 0.3333 0.6667 0.0000 x1
Pb 0.4249 0.2125 0.5000 x3

- Formation energy: 0.00 eV/atom
- Magnetization: 0.000 μB/cell
- VASP energy: -2.72 eV per atom